(1)
This record from Alexandria via LeMat-Bulk describes crystalline LiNdErTe3 at its relaxed geometry. The functional is PBE.

Values from the calculation:
- calculated density (g/cm3) = 6.59
- space group = P2_1/m (11)
- total energy (eV/atom) = -4.712

Structure (CIF):
```
data_LiNdErTe3
_cell_length_a 8.944
_cell_length_b 4.274
_cell_length_c 9.520
_cell_angle_alpha 90.00
_cell_angle_beta 103.73
_cell_angle_gamma 90.00
_symmetry_space_group_name_H-M 'P 1'
_symmetry_Int_Tables_number 1
loop_
_symmetry_equiv_pos_as_xyz
'x,y,z'
loop_
_atom_site_label
_atom_site_type_symbol
_atom_site_fract_x
_atom_site_fract_y
_atom_site_fract_z
_atom_site_occupancy
Li1 Li 0.084 0.250 0.085 1
Li2 Li 0.916 0.750 0.915 1
Nd1 Nd 0.190 0.250 0.734 1
Nd2 Nd 0.810 0.750 0.266 1
Er1 Er 0.330 0.750 0.339 1
Er2 Er 0.670 0.250 0.661 1
Te1 Te 0.093 0.250 0.375 1
Te2 Te 0.236 0.750 0.003 1
Te3 Te 0.433 0.750 0.672 1
Te4 Te 0.567 0.250 0.328 1
Te5 Te 0.764 0.250 0.997 1
Te6 Te 0.907 0.750 0.625 1
```

=====

(2)
This record from Alexandria via LeMat-Bulk describes crystalline Li4NdEr3Te8 at its relaxed geometry. The functional is PBE.

Values from the calculation:
- calculated density (g/cm3) = 6.07
- space group = R-3m (166)
- total energy (eV/atom) = -4.484

Structure (CIF):
```
data_Li4NdEr3Te8
_cell_length_a 8.672
_cell_length_b 8.672
_cell_length_c 8.672
_cell_angle_alpha 60.26
_cell_angle_beta 60.26
_cell_angle_gamma 60.26
_symmetry_space_group_name_H-M 'P 1'
_symmetry_Int_Tables_number 1
loop_
_symmetry_equiv_pos_as_xyz
'x,y,z'
loop_
_atom_site_label
_atom_site_type_symbol
_atom_site_fract_x
_atom_site_fract_y
_atom_site_fract_z
_atom_site_occupancy
Li1 Li 0.000 0.000 0.000 1
Li2 Li 0.000 0.500 0.500 1
Li3 Li 0.500 0.000 0.500 1
Li4 Li 0.500 0.500 0.000 1
Nd1 Nd 0.500 0.500 0.500 1
Er1 Er 0.000 0.000 0.500 1
Er2 Er 0.000 0.500 0.000 1
Er3 Er 0.500 0.000 0.000 1
Te1 Te 0.244 0.244 0.756 1
Te2 Te 0.244 0.756 0.244 1
Te3 Te 0.244 0.756 0.756 1
Te4 Te 0.251 0.251 0.251 1
Te5 Te 0.749 0.749 0.749 1
Te6 Te 0.756 0.244 0.244 1
Te7 Te 0.756 0.244 0.756 1
Te8 Te 0.756 0.756 0.244 1
```

=====

(3)
This record from Alexandria via LeMat-Bulk describes crystalline LiNd3Er2Te6 at its relaxed geometry. The functional is PBE.

Values from the calculation:
- calculated density (g/cm3) = 7.07
- space group = C2/m (12)
- total energy (eV/atom) = -5.023

Structure (CIF):
```
data_LiNd3Er2Te6
_cell_length_a 9.869
_cell_length_b 9.869
_cell_length_c 8.837
_cell_angle_alpha 103.72
_cell_angle_beta 103.72
_cell_angle_gamma 25.66
_symmetry_space_group_name_H-M 'P 1'
_symmetry_Int_Tables_number 1
loop_
_symmetry_equiv_pos_as_xyz
'x,y,z'
loop_
_atom_site_label
_atom_site_type_symbol
_atom_site_fract_x
_atom_site_fract_y
_atom_site_fract_z
_atom_site_occupancy
Li1 Li 0.000 0.000 0.000 1
Nd1 Nd 0.000 0.000 0.500 1
Nd2 Nd 0.334 0.334 0.171 1
Nd3 Nd 0.666 0.666 0.829 1
Er1 Er 0.335 0.335 0.664 1
Er2 Er 0.665 0.665 0.336 1
Te1 Te 0.161 0.161 0.090 1
Te2 Te 0.170 0.170 0.576 1
Te3 Te 0.497 0.497 0.765 1
Te4 Te 0.503 0.503 0.235 1
Te5 Te 0.830 0.830 0.424 1
Te6 Te 0.839 0.839 0.910 1
```

=====

(4)
This record from Alexandria via LeMat-Bulk describes crystalline LiNd2ErTe4 at its relaxed geometry. The functional is PBE.

Values from the calculation:
- calculated density (g/cm3) = 6.71
- space group = P2/m (10)
- total energy (eV/atom) = -4.917

Structure (CIF):
```
data_LiNd2ErTe4
_cell_length_a 7.590
_cell_length_b 4.378
_cell_length_c 7.665
_cell_angle_alpha 90.00
_cell_angle_beta 109.11
_cell_angle_gamma 90.00
_symmetry_space_group_name_H-M 'P 1'
_symmetry_Int_Tables_number 1
loop_
_symmetry_equiv_pos_as_xyz
'x,y,z'
loop_
_atom_site_label
_atom_site_type_symbol
_atom_site_fract_x
_atom_site_fract_y
_atom_site_fract_z
_atom_site_occupancy
Li1 Li 0.000 0.000 0.000 1
Nd1 Nd 0.000 0.500 0.500 1
Nd2 Nd 0.500 0.000 0.500 1
Er1 Er 0.500 0.500 0.000 1
Te1 Te 0.240 0.500 0.231 1
Te2 Te 0.251 0.000 0.768 1
Te3 Te 0.749 0.000 0.232 1
Te4 Te 0.760 0.500 0.769 1
```

=====

(5)
This record from Alexandria via LeMat-Bulk describes crystalline LiNd2Er3Te6 at its relaxed geometry. The functional is PBE.

Values from the calculation:
- calculated density (g/cm3) = 7.27
- space group = C2/m (12)
- total energy (eV/atom) = -4.987

Structure (CIF):
```
data_LiNd2Er3Te6
_cell_length_a 9.826
_cell_length_b 9.826
_cell_length_c 8.798
_cell_angle_alpha 103.31
_cell_angle_beta 103.31
_cell_angle_gamma 25.62
_symmetry_space_group_name_H-M 'P 1'
_symmetry_Int_Tables_number 1
loop_
_symmetry_equiv_pos_as_xyz
'x,y,z'
loop_
_atom_site_label
_atom_site_type_symbol
_atom_site_fract_x
_atom_site_fract_y
_atom_site_fract_z
_atom_site_occupancy
Li1 Li 0.000 0.000 0.000 1
Nd1 Nd 0.329 0.329 0.656 1
Nd2 Nd 0.671 0.671 0.344 1
Er1 Er 0.000 0.000 0.500 1
Er2 Er 0.330 0.330 0.168 1
Er3 Er 0.670 0.670 0.832 1
Te1 Te 0.161 0.161 0.593 1
Te2 Te 0.163 0.163 0.073 1
Te3 Te 0.497 0.497 0.245 1
Te4 Te 0.503 0.503 0.755 1
Te5 Te 0.837 0.837 0.927 1
Te6 Te 0.839 0.839 0.407 1
```

=====

(6)
This record from Alexandria via LeMat-Bulk describes crystalline Li3NdEr2Te6 at its relaxed geometry. The functional is PBE.

Values from the calculation:
- calculated density (g/cm3) = 6.01
- space group = C2/m (12)
- total energy (eV/atom) = -4.491

Structure (CIF):
```
data_Li3NdEr2Te6
_cell_length_a 7.562
_cell_length_b 7.562
_cell_length_c 7.501
_cell_angle_alpha 99.69
_cell_angle_beta 99.69
_cell_angle_gamma 120.00
_symmetry_space_group_name_H-M 'P 1'
_symmetry_Int_Tables_number 1
loop_
_symmetry_equiv_pos_as_xyz
'x,y,z'
loop_
_atom_site_label
_atom_site_type_symbol
_atom_site_fract_x
_atom_site_fract_y
_atom_site_fract_z
_atom_site_occupancy
Li1 Li 0.000 0.000 0.000 1
Li2 Li 0.335 0.665 0.000 1
Li3 Li 0.665 0.335 0.000 1
Nd1 Nd 0.500 0.500 0.500 1
Er1 Er 0.167 0.833 0.500 1
Er2 Er 0.833 0.167 0.500 1
Te1 Te 0.072 0.414 0.244 1
Te2 Te 0.243 0.243 0.757 1
Te3 Te 0.414 0.072 0.244 1
Te4 Te 0.586 0.928 0.756 1
Te5 Te 0.757 0.757 0.243 1
Te6 Te 0.928 0.586 0.756 1
```

=====

(7)
This record from Alexandria via LeMat-Bulk describes crystalline LiNdEr2Te4 at its relaxed geometry. The functional is PBE.

Values from the calculation:
- calculated density (g/cm3) = 7.02
- space group = P2/m (10)
- total energy (eV/atom) = -4.852

Structure (CIF):
```
data_LiNdEr2Te4
_cell_length_a 7.581
_cell_length_b 4.335
_cell_length_c 7.587
_cell_angle_alpha 90.00
_cell_angle_beta 109.09
_cell_angle_gamma 90.00
_symmetry_space_group_name_H-M 'P 1'
_symmetry_Int_Tables_number 1
loop_
_symmetry_equiv_pos_as_xyz
'x,y,z'
loop_
_atom_site_label
_atom_site_type_symbol
_atom_site_fract_x
_atom_site_fract_y
_atom_site_fract_z
_atom_site_occupancy
Li1 Li 0.000 0.000 0.000 1
Nd1 Nd 0.000 0.500 0.500 1
Er1 Er 0.500 0.000 0.500 1
Er2 Er 0.500 0.500 0.000 1
Te1 Te 0.251 0.500 0.242 1
Te2 Te 0.256 0.000 0.762 1
Te3 Te 0.744 0.000 0.238 1
Te4 Te 0.749 0.500 0.758 1
```

=====

(8)
This record from Alexandria via LeMat-Bulk describes crystalline LiNd4Er3Te8 at its relaxed geometry. The functional is PBE.

Values from the calculation:
- calculated density (g/cm3) = 7.25
- space group = R-3m (166)
- total energy (eV/atom) = -5.077

Structure (CIF):
```
data_LiNd4Er3Te8
_cell_length_a 8.877
_cell_length_b 8.877
_cell_length_c 8.877
_cell_angle_alpha 58.94
_cell_angle_beta 58.94
_cell_angle_gamma 58.94
_symmetry_space_group_name_H-M 'P 1'
_symmetry_Int_Tables_number 1
loop_
_symmetry_equiv_pos_as_xyz
'x,y,z'
loop_
_atom_site_label
_atom_site_type_symbol
_atom_site_fract_x
_atom_site_fract_y
_atom_site_fract_z
_atom_site_occupancy
Li1 Li 0.000 0.000 0.000 1
Nd1 Nd 0.000 0.000 0.500 1
Nd2 Nd 0.000 0.500 0.000 1
Nd3 Nd 0.500 0.000 0.000 1
Nd4 Nd 0.500 0.500 0.500 1
Er1 Er 0.000 0.500 0.500 1
Er2 Er 0.500 0.000 0.500 1
Er3 Er 0.500 0.500 0.000 1
Te1 Te 0.241 0.241 0.750 1
Te2 Te 0.241 0.750 0.241 1
Te3 Te 0.250 0.759 0.759 1
Te4 Te 0.255 0.255 0.255 1
Te5 Te 0.745 0.745 0.745 1
Te6 Te 0.750 0.241 0.241 1
Te7 Te 0.759 0.250 0.759 1
Te8 Te 0.759 0.759 0.250 1
```

=====

(9)
This record from Alexandria via LeMat-Bulk describes crystalline Li3Nd2ErTe6 at its relaxed geometry. The functional is PBE.

Values from the calculation:
- calculated density (g/cm3) = 5.75
- space group = C2/m (12)
- total energy (eV/atom) = -4.514

Structure (CIF):
```
data_Li3Nd2ErTe6
_cell_length_a 7.649
_cell_length_b 7.649
_cell_length_c 7.524
_cell_angle_alpha 99.76
_cell_angle_beta 99.76
_cell_angle_gamma 120.00
_symmetry_space_group_name_H-M 'P 1'
_symmetry_Int_Tables_number 1
loop_
_symmetry_equiv_pos_as_xyz
'x,y,z'
loop_
_atom_site_label
_atom_site_type_symbol
_atom_site_fract_x
_atom_site_fract_y
_atom_site_fract_z
_atom_site_occupancy
Li1 Li 0.000 0.000 0.000 1
Li2 Li 0.333 0.667 0.000 1
Li3 Li 0.667 0.333 0.000 1
Nd1 Nd 0.167 0.833 0.500 1
Nd2 Nd 0.833 0.167 0.500 1
Er1 Er 0.500 0.500 0.500 1
Te1 Te 0.089 0.413 0.240 1
Te2 Te 0.262 0.262 0.758 1
Te3 Te 0.413 0.089 0.240 1
Te4 Te 0.587 0.911 0.760 1
Te5 Te 0.738 0.738 0.242 1
Te6 Te 0.911 0.587 0.760 1
```

=====

(10)
This record from Alexandria via LeMat-Bulk describes crystalline Li2NdEr2Tl2 at its relaxed geometry. The functional is PBE.

Values from the calculation:
- DFT formation energy (eV per atom) = -0.180
- calculated density (g/cm3) = 8.18
- space group = R-3m (166)
- total energy (eV/atom) = -3.388

Structure (CIF):
```
data_Li2NdEr2Tl2
_cell_length_a 9.353
_cell_length_b 9.353
_cell_length_c 9.353
_cell_angle_alpha 30.16
_cell_angle_beta 30.16
_cell_angle_gamma 30.16
_symmetry_space_group_name_H-M 'P 1'
_symmetry_Int_Tables_number 1
loop_
_symmetry_equiv_pos_as_xyz
'x,y,z'
loop_
_atom_site_label
_atom_site_type_symbol
_atom_site_fract_x
_atom_site_fract_y
_atom_site_fract_z
_atom_site_occupancy
Li1 Li 0.095 0.095 0.095 1
Li2 Li 0.905 0.905 0.905 1
Nd1 Nd 0.500 0.500 0.500 1
Er1 Er 0.371 0.371 0.371 1
Er2 Er 0.629 0.629 0.629 1
Tl1 Tl 0.242 0.242 0.242 1
Tl2 Tl 0.758 0.758 0.758 1
```

=====

(11)
This record from Alexandria via LeMat-Bulk describes crystalline LiNdErTl at its relaxed geometry. The functional is PBE.

Values from the calculation:
- DFT formation energy (eV per atom) = -0.188
- calculated density (g/cm3) = 8.00
- space group = F-43m (216)
- total energy (eV/atom) = -3.591

Structure (CIF):
```
data_LiNdErTl
_cell_length_a 5.353
_cell_length_b 5.353
_cell_length_c 5.353
_cell_angle_alpha 60.00
_cell_angle_beta 60.00
_cell_angle_gamma 60.00
_symmetry_space_group_name_H-M 'P 1'
_symmetry_Int_Tables_number 1
loop_
_symmetry_equiv_pos_as_xyz
'x,y,z'
loop_
_atom_site_label
_atom_site_type_symbol
_atom_site_fract_x
_atom_site_fract_y
_atom_site_fract_z
_atom_site_occupancy
Li1 Li 0.000 0.000 0.000 1
Nd1 Nd 0.750 0.750 0.750 1
Er1 Er 0.250 0.250 0.250 1
Tl1 Tl 0.500 0.500 0.500 1
```

=====

(12)
This record from Alexandria via LeMat-Bulk describes crystalline LiNdErTm at its relaxed geometry. The functional is PBE.

Values from the calculation:
- DFT formation energy (eV per atom) = 0.162
- calculated density (g/cm3) = 6.91
- space group = F-43m (216)
- total energy (eV/atom) = -3.767

Structure (CIF):
```
data_LiNdErTm
_cell_length_a 5.491
_cell_length_b 5.491
_cell_length_c 5.491
_cell_angle_alpha 60.00
_cell_angle_beta 60.00
_cell_angle_gamma 60.00
_symmetry_space_group_name_H-M 'P 1'
_symmetry_Int_Tables_number 1
loop_
_symmetry_equiv_pos_as_xyz
'x,y,z'
loop_
_atom_site_label
_atom_site_type_symbol
_atom_site_fract_x
_atom_site_fract_y
_atom_site_fract_z
_atom_site_occupancy
Li1 Li 0.000 0.000 0.000 1
Nd1 Nd 0.250 0.250 0.250 1
Er1 Er 0.750 0.750 0.750 1
Tm1 Tm 0.500 0.500 0.500 1
```